First-principles (PBE) data for crystalline ZnAgSeCl at its relaxed geometry, as listed in Alexandria.

```
ZnAgSeCl
1.0
4.072 -0.002 -0.009
-2.034 3.528 0.009
-2.020 -1.185 7.011
Zn Ag Se Cl
1 1 1 1
Cartesian
-1.555 3.251 1.331
-1.557 0.900 5.062
0.479 2.076 0.608
0.479 -0.277 3.733
```

Values from the calculation:
The space group is Cm, No. 8. For the energy relative to the elements, uncorrected, the calculation gives -595 meV/atom. The total energy is -2.9593 eV per atom.